The following is a DFT calculation (PBE) of NdDy2Ag4 after structural relaxation.

The value obtained for the total energy is -51.8 eV per cell. The calculation puts the formation enthalpy at 0 K at -1.71 kcal/mol of atoms. The crystal system is tetragonal.

The structure belongs to space group I4/mmm (No. 139); the cell edges are 7.344, 7.344 and 6.976 Å and the angles 90.00°, 90.00° and 90.00°. Symmetry generates all atoms from Nd at (0.000, 0.000, 0.000), Dy at (0.000, 0.500, 0.000) and Ag at (0.250, 0.250, 0.250).